1.
# La7Dy16Th6, relaxed, DFT PBE-GGA
# DOS(E_F) = 1.899 states/eV per atom
data_La7Dy16Th6
_chemical_formula_sum 'La28 Dy64 Th24'
_cell_length_a 15.7332
_cell_length_b 15.7332
_cell_length_c 15.7332
_cell_angle_alpha 90.00
_cell_angle_beta 90.00
_cell_angle_gamma 90.00
_space_group_name_H-M_alt 'F m -3 m'
_space_group_IT_number 225
_space_group_name_Hall '-F 4 2 3'
loop_
_atom_site_label
_atom_site_fract_x
_atom_site_fract_y
_atom_site_fract_z
_atom_site_occupancy
La1 0.0000 0.0000 0.0000 1
La2 0.0000 0.2500 0.2500 1
Dy1 0.1116 0.1116 0.3884 1
Dy2 0.1520 0.1520 0.1520 1
Th1 0.0000 0.0000 0.2259 1

---

2.
# ScZnAu4, relaxed, DFT PBE-GGA
# DOS(E_F) = 0.549 states/eV per atom
data_ScZnAu4
_chemical_formula_sum 'Sc4 Zn4 Au16'
_cell_length_a 6.4289
_cell_length_b 6.4289
_cell_length_c 12.0424
_cell_angle_alpha 90.00
_cell_angle_beta 90.00
_cell_angle_gamma 90.00
_space_group_name_H-M_alt 'I 41/a m d'
_space_group_IT_number 141
loop_
_space_group_symop_operation_xyz
'x,y,z'
'-x,-y,-z'
'-y+1/4,x+3/4,z+1/4'
'y+1/4,-x+3/4,-z+1/4'
'-x+1/2,-y,z+1/2'
'x+1/2,y,-z+1/2'
'y+1/4,-x+1/4,z+3/4'
'-y+1/4,x+1/4,-z+3/4'
'x,-y,-z'
'-x,y,z'
'-y+1/4,-x+1/4,-z+3/4'
'y+1/4,x+1/4,z+3/4'
'-x+1/2,y,-z+1/2'
'x+1/2,-y,z+1/2'
'y+1/4,x+3/4,-z+1/4'
'-y+1/4,-x+3/4,z+1/4'
'x+1/2,y+1/2,z+1/2'
'-x+1/2,-y+1/2,-z+1/2'
'-y+3/4,x+1/4,z+3/4'
'y+3/4,-x+1/4,-z+3/4'
'-x,-y+1/2,z'
'x,y+1/2,-z'
'y+3/4,-x+3/4,z+1/4'
'-y+3/4,x+3/4,-z+1/4'
'x+1/2,-y+1/2,-z+1/2'
'-x+1/2,y+1/2,z+1/2'
'-y+3/4,-x+3/4,-z+1/4'
'y+3/4,x+3/4,z+1/4'
'-x,y+1/2,-z'
'x,-y+1/2,z'
'y+3/4,x+1/4,-z+3/4'
'-y+3/4,-x+1/4,z+3/4'
loop_
_atom_site_label
_atom_site_fract_x
_atom_site_fract_y
_atom_site_fract_z
_atom_site_occupancy
Sc1 0.0000 0.2500 0.3750 1
Zn1 0.0000 0.2500 0.8750 1
Au1 0.2335 0.0000 0.0000 1

---

3.
# ZrFeCo3, relaxed, DFT PBE-GGA
# DOS(E_F) = 1.231 states/eV per atom
data_ZrFeCo3
_chemical_formula_sum 'Zr1 Fe1 Co3'
_cell_length_a 4.2499
_cell_length_b 4.2499
_cell_length_c 4.2499
_cell_angle_alpha 90.00
_cell_angle_beta 90.00
_cell_angle_gamma 90.00
_space_group_name_H-M_alt 'P m -3 m'
_space_group_IT_number 221
_space_group_name_Hall '-P 4 2 3'
loop_
_atom_site_label
_atom_site_fract_x
_atom_site_fract_y
_atom_site_fract_z
_atom_site_occupancy
Zr1 0.0000 0.0000 0.0000 1
Fe1 0.5000 0.5000 0.5000 1
Co1 0.0000 0.5000 0.5000 1

---

| no. | theoretical density (g/cm³) | energy of formation from the pure elements (eV per atom) | spin magnetization (μB/f.u.) |
| --- | --- | --- | --- |
| 1 | 8.47 | 0.23 | 0.00 |
| 2 | 11.99 | -0.27 | 0.00 |
| 3 | 7.01 | 0.60 | 5.89 |